# 1
Entry from the Alexandria database: a geometry-optimized AlCdCo structure (GGA-PBE).

a b c (Å): 5.4943 5.4943 5.4943
angles (deg): 148.21 148.21 45.58
Last column: nearest neighbours and their distance in Å.
Atoms (fractional coordinates):
1 Al 0.0000 0.0000 0.0000  4 Co 2.40
2 Cd 0.7110 0.7110 0.0000  4 Co 2.80, 5 Al 2.93-3.02, 4 Cd 3.01
3 Co 0.3906 0.3906 0.0000  4 Al 2.40

The formation enthalpy at 0 K comes out at -71 meV per atom. Its energy relative to the lowest polymorph listed for this composition is 0.000 eV/atom. As for the space group: I4mm, No. 107. Its total magnetization is 0.46 μB/f.u.

=====

# 2
Entry from the Alexandria database: a geometry-optimized TbNiPdAu structure (GGA-PBE).

a b c (Å): 4.6455 4.6455 4.6455
angles (deg): 60.00 60.00 60.00
Last column: nearest neighbours and their distance in Å.
Atoms (fractional coordinates):
1 Tb 0.0000 0.0000 0.0000  4 Ni 2.84, 4 Pd 2.84
2 Ni 0.7500 0.7500 0.7500  4 Tb 2.84, 4 Au 2.84
3 Pd 0.2500 0.2500 0.2500  4 Tb 2.84, 4 Au 2.84
4 Au 0.5000 0.5000 0.5000  4 Ni 2.84, 4 Pd 2.84

The formation enthalpy at 0 K comes out at -510 meV per atom. As for the space group: F-43m, No. 216. Its total magnetization is 0.00 μB/f.u.

=====

# 3
Entry from the Alexandria database: a geometry-optimized Pu3In3RuRh2 structure (GGA-PBE).

a b c (Å): 8.1036 8.1036 3.3379
angles (deg): 90.00 90.00 120.00
Last column: nearest neighbours and their distance in Å.
Atoms (fractional coordinates):
1 Pu 0.0000 0.7207 0.0000  2 Ru 2.81, 2 Rh 2.94
2 Pu 0.2793 0.2793 0.0000  2 Ru 2.81, 2 Rh 2.94
3 Pu 0.7207 0.0000 0.0000  2 Ru 2.81, 2 Rh 2.94
4 In 0.0000 0.3835 0.5000  4 Rh 3.02, 1 Ru 3.11, 6 Pu 3.20-3.25, 2 In 3.34
5 In 0.3835 0.0000 0.5000  4 Rh 3.02, 1 Ru 3.11, 6 Pu 3.20-3.25, 2 In 3.34
6 In 0.6165 0.6165 0.5000  4 Rh 3.02, 1 Ru 3.11, 6 Pu 3.20-3.25, 2 In 3.34
7 Ru 0.0000 0.0000 0.5000  6 Pu 2.81, 3 In 3.11
8 Rh 0.3333 0.6667 0.0000  3 Pu 2.94, 6 In 3.02
9 Rh 0.6667 0.3333 0.0000  3 Pu 2.94, 6 In 3.02

The formation enthalpy at 0 K comes out at -230 meV per atom. As for the space group: P-62m, No. 189. Its total magnetization is 15.36 μB/f.u.

=====

# 4
Entry from the Alexandria database: a geometry-optimized ScCu2GeW structure (GGA-PBE).

a b c (Å): 4.3921 4.3921 4.8089
angles (deg): 90.00 90.00 90.00
Last column: nearest neighbours and their distance in Å.
Atoms (fractional coordinates):
1 Sc 0.0000 0.0000 0.0000  4 W 3.11, 8 Cu 3.26
2 Cu 0.0000 0.5000 0.5000  2 Ge 2.20
3 Cu 0.5000 0.0000 0.5000  2 Ge 2.20
4 Ge 0.5000 0.5000 0.5000  4 Cu 2.20, 2 W 2.40
5 W 0.5000 0.5000 0.0000  2 Ge 2.40

The formation enthalpy at 0 K comes out at 600 meV per atom. As for the space group: P4/mmm, No. 123. Its total magnetization is 0.00 μB/f.u.

=====

# 5
Entry from the Alexandria database: a geometry-optimized Cd3Bi2 structure (GGA-PBE).

a b c (Å): 7.5685 7.4035 9.8824
angles (deg): 90.00 90.00 90.00
Last column: nearest neighbours and their distance in Å.
Atoms (fractional coordinates):
1 Cd 0.0000 0.1420 0.2500  4 Cd 3.09-3.18, 4 Bi 3.14-3.18
2 Cd 0.0000 0.8580 0.7500  4 Cd 3.09-3.18, 4 Bi 3.14-3.18
3 Cd 0.1322 0.4950 0.6339  4 Cd 3.04-3.32, 4 Bi 3.07-3.37
4 Cd 0.1322 0.5050 0.1339  4 Cd 3.04-3.32, 4 Bi 3.07-3.37
5 Cd 0.3678 0.0050 0.1339  4 Cd 3.04-3.32, 4 Bi 3.07-3.37
6 Cd 0.3678 0.9950 0.6339  4 Cd 3.04-3.32, 4 Bi 3.07-3.37
7 Cd 0.5000 0.3580 0.7500  4 Cd 3.09-3.18, 4 Bi 3.14-3.18
8 Cd 0.5000 0.6420 0.2500  4 Cd 3.09-3.18, 4 Bi 3.14-3.18
9 Cd 0.6322 0.0050 0.3661  4 Cd 3.04-3.32, 4 Bi 3.07-3.37
10 Cd 0.6322 0.9950 0.8661  4 Cd 3.04-3.32, 4 Bi 3.07-3.37
11 Cd 0.8678 0.4950 0.8661  4 Cd 3.04-3.32, 4 Bi 3.07-3.37
12 Cd 0.8678 0.5050 0.3661  4 Cd 3.04-3.32, 4 Bi 3.07-3.37
13 Bi 0.1684 0.1895 0.9013  6 Cd 3.07-3.37
14 Bi 0.1684 0.8105 0.4013  6 Cd 3.07-3.37
15 Bi 0.3316 0.3105 0.4013  6 Cd 3.07-3.37
16 Bi 0.3316 0.6895 0.9013  6 Cd 3.07-3.37
17 Bi 0.6684 0.3105 0.0987  6 Cd 3.07-3.37
18 Bi 0.6684 0.6895 0.5987  6 Cd 3.07-3.37
19 Bi 0.8316 0.1895 0.5987  6 Cd 3.07-3.37
20 Bi 0.8316 0.8105 0.0987  6 Cd 3.07-3.37

The formation enthalpy at 0 K comes out at 84 meV per atom. As for the space group: Pbcn, No. 60. Its total magnetization is 0.00 μB/f.u.

=====

What is the formation enthalpy at 0 K in the fifth record? 84 meV per atom

=====

The lowest formation enthalpy at 0 K belongs to which entry? TbNiPdAu

=====

Look up the formation enthalpy at 0 K of the fourth one. 600 meV per atom